# 1
Density functional theory data (PBEsol) for a relaxed structure of AlTePb2.

Lattice parameters (Å, degrees): 3.629 3.629 8.081 90.00 90.00 90.00
Space group P4mm (No. 99)
Unique sites:
Al  0.000  0.000  0.000 [1 per cell]
Te  0.500  0.500  0.834 [1 per cell]
Pb  0.000  0.000  0.545 [1 per cell]
Pb  0.500  0.500  0.255 [1 per cell]

Results
Energy relative to the lowest polymorph listed for this composition   0 meV/atom
Size of the total moment   0.00 μB/cell
Formation energy without anion corrections   44 meV per atom

***

# 2
Density functional theory data (PBEsol) for a relaxed structure of Al2TePb.

Lattice parameters (Å, degrees): 3.139 3.139 9.615 90.00 90.00 90.00
Space group P4mm (No. 99)
Unique sites:
Al  0.000  0.000  0.000 [1 per cell]
Al  0.500  0.500  0.184 [1 per cell]
Te  0.500  0.500  0.764 [1 per cell]
Pb  0.000  0.000  0.422 [1 per cell]

Results
Energy relative to the lowest polymorph listed for this composition   0 meV/atom
Size of the total moment   0.00 μB/cell
Formation energy without anion corrections   152 meV per atom

***

# 3
Density functional theory data (PBEsol) for a relaxed structure of AlTePb2.

Lattice parameters (Å, degrees): 3.395 3.395 9.242 90.00 90.00 90.00
Space group P4/mmm (No. 123)
Unique sites:
Al  0.000  0.000  0.000 [1 per cell]
Te  0.000  0.000  0.500 [1 per cell]
Pb  0.500  0.500  0.219 [2 per cell]

Results
Energy relative to the lowest polymorph listed for this composition   91 meV/atom
Size of the total moment   0.00 μB/cell
Formation energy without anion corrections   135 meV per atom

***

# 4
Density functional theory data (PBEsol) for a relaxed structure of AlTe3Pb.

Lattice parameters (Å, degrees): 5.303 5.303 5.303 90.00 90.00 90.00
Space group Pm-3m (No. 221)
Unique sites:
Al  0.000  0.000  0.000 [1 per cell]
Te  0.000  0.000  0.500 [3 per cell]
Pb  0.500  0.500  0.500 [1 per cell]

Results
Size of the total moment   0.00 μB/cell
Formation energy without anion corrections   32 meV per atom

***

# 5
Density functional theory data (PBEsol) for a relaxed structure of AlTePb3.

Lattice parameters (Å, degrees): 5.384 5.384 5.384 90.00 90.00 90.00
Space group Pm-3m (No. 221)
Unique sites:
Al  0.000  0.000  0.000 [1 per cell]
Te  0.500  0.500  0.500 [1 per cell]
Pb  0.000  0.000  0.500 [3 per cell]

Results
Energy relative to the lowest polymorph listed for this composition   0 meV/atom
Size of the total moment   0.00 μB/cell
Formation energy without anion corrections   335 meV per atom

***

# 6
Density functional theory data (PBEsol) for a relaxed structure of AlTePb2.

Lattice parameters (Å, degrees): 3.881 5.266 5.282 90.00 90.00 90.00
Space group Pmmm (No. 47)
Unique sites:
Al  0.000  0.000  0.000 [1 per cell]
Te  0.500  0.000  0.500 [1 per cell]
Pb  0.000  0.500  0.500 [1 per cell]
Pb  0.500  0.500  0.000 [1 per cell]

Results
Energy relative to the lowest polymorph listed for this composition   68 meV/atom
Size of the total moment   0.00 μB/cell
Formation energy without anion corrections   112 meV per atom

***

> Which value of size of the total moment does entry 6 give?

0.00 μB/cell

***

> size of the total moment of number 3 (AlTePb2)?

0.00 μB/cell

***

> What is the size of the total moment in the sixth record?

0.00 μB/cell